Entry 1:
# LiCrRh2 (GGA-PBE, relaxed)
# Formation energy from the elements = 220 meV per atom
# Magnetization = 0.3 μB/f.u.
# Uncorrected energy = -6.340 eV/atom
# N(E_F) = 1.31 states/eV per atom
data_LiCrRh2
_symmetry_space_group_name_H-M 'C m m 2'
_symmetry_Int_Tables_number 35
_cell_length_a 2.742
_cell_length_b 4.449
_cell_length_c 9.029
_cell_angle_alpha 90.00
_cell_angle_beta 90.00
_cell_angle_gamma 90.00
loop_
_symmetry_equiv_pos_as_xyz
'x,y,z'
'-x,-y,z'
'-x,y,z'
'x,-y,z'
'x+1/2,y+1/2,z'
'-x+1/2,-y+1/2,z'
'-x+1/2,y+1/2,z'
'x+1/2,-y+1/2,z'
loop_
_atom_site_label
_atom_site_fract_x
_atom_site_fract_y
_atom_site_fract_z
Li1 0.000 0.000 0.000
Cr1 0.000 0.500 0.263
Rh1 0.000 0.000 0.492
Rh2 0.000 0.500 0.760

***

Entry 2:
# LiCrRuRh (GGA-PBE, relaxed)
# Formation energy from the elements = -45 meV per atom
# Magnetization = 0.0 μB/f.u.
# Uncorrected energy = -7.086 eV/atom
# N(E_F) = 0.58 states/eV per atom
data_LiCrRuRh
_symmetry_space_group_name_H-M 'F -4 3 m'
_symmetry_Int_Tables_number 216
_symmetry_space_group_name_Hall 'F -4 2 3'
_cell_length_a 5.843
_cell_length_b 5.843
_cell_length_c 5.843
_cell_angle_alpha 90.00
_cell_angle_beta 90.00
_cell_angle_gamma 90.00
loop_
_atom_site_label
_atom_site_fract_x
_atom_site_fract_y
_atom_site_fract_z
Li1 0.000 0.000 0.000
Cr1 0.000 0.000 0.500
Ru1 0.250 0.250 0.750
Rh1 0.250 0.250 0.250

***

Entry 3:
# LiCrSn2Rh (GGA-PBE, relaxed)
# Formation energy from the elements = 298 meV per atom
# Magnetization = 4.1 μB/f.u.
# Uncorrected energy = -5.081 eV/atom
# N(E_F) = 1.17 states/eV per atom
data_LiCrSn2Rh
_symmetry_space_group_name_H-M 'P 4/m m m'
_symmetry_Int_Tables_number 123
_symmetry_space_group_name_Hall '-P 4 2'
_cell_length_a 5.078
_cell_length_b 5.078
_cell_length_c 4.966
_cell_angle_alpha 90.00
_cell_angle_beta 90.00
_cell_angle_gamma 90.00
loop_
_atom_site_label
_atom_site_fract_x
_atom_site_fract_y
_atom_site_fract_z
Li1 0.000 0.000 0.000
Cr1 0.500 0.500 0.000
Sn1 0.000 0.500 0.500
Rh1 0.500 0.500 0.500

***

Entry 4:
# LiCrSnRh (GGA-PBE, relaxed)
# Formation energy from the elements = -200 meV per atom
# Magnetization = 3.0 μB/f.u.
# Uncorrected energy = -5.923 eV/atom
# N(E_F) = 1.15 states/eV per atom
data_LiCrSnRh
_symmetry_space_group_name_H-M 'F -4 3 m'
_symmetry_Int_Tables_number 216
_symmetry_space_group_name_Hall 'F -4 2 3'
_cell_length_a 6.281
_cell_length_b 6.281
_cell_length_c 6.281
_cell_angle_alpha 90.00
_cell_angle_beta 90.00
_cell_angle_gamma 90.00
loop_
_atom_site_label
_atom_site_fract_x
_atom_site_fract_y
_atom_site_fract_z
Li1 0.000 0.000 0.000
Cr1 0.250 0.250 0.250
Sn1 0.250 0.250 0.750
Rh1 0.000 0.000 0.500